(1)
Entry from the Alexandria database: an optimized crystal structure of LaPr3Y3 (PBE-GGA).

Unit cell a=12.686 b=12.686 c=3.753 alpha=90.00 beta=90.00 gamma=120.00
Sites, in units of the cell vectors:
La: 0.333 0.667 0.250
La: 0.667 0.333 0.750
Pr: 0.100 0.613 0.750
Pr: 0.387 0.487 0.750
Pr: 0.487 0.100 0.250
Pr: 0.513 0.900 0.750
Pr: 0.613 0.513 0.250
Pr: 0.900 0.387 0.250
Y: 0.084 0.307 0.750
Y: 0.222 0.916 0.750
Y: 0.307 0.222 0.250
Y: 0.693 0.778 0.750
Y: 0.778 0.084 0.250
Y: 0.916 0.693 0.250

Summary:
formation energy = 0.321 eV per atom
total magnetization = 0.000 μB/cell
space group = P6_3/m (176)
energy above the most stable polymorph in this dataset = 88 meV/atom
ρ = 5.3 Mg/m³
crystal system = hexagonal

---

(2)
Entry from the Alexandria database: an optimized crystal structure of Mg2Co2Te (PBE-GGA).

Unit cell a=7.447 b=7.447 c=3.116 alpha=90.00 beta=90.00 gamma=90.00
Sites, in units of the cell vectors:
Mg: 0.132 0.368 0.000
Mg: 0.368 0.868 0.000
Mg: 0.632 0.132 0.000
Mg: 0.868 0.632 0.000
Co: 0.159 0.659 0.500
Co: 0.341 0.159 0.500
Co: 0.659 0.841 0.500
Co: 0.841 0.341 0.500
Te: 0.000 0.000 0.000
Te: 0.500 0.500 0.000

Summary:
total magnetization = 3.931 μB/cell
space group = P4/mbm (127)
energy above the most stable polymorph in this dataset = 407 meV/atom
ρ = 5.7 Mg/m³
ΔE_f (raw) = 2.0 eV per formula unit
crystal system = tetragonal

---

(3)
Entry from the Alexandria database: an optimized crystal structure of Tb3Se3N (PBE-GGA).

Unit cell a=12.634 b=3.975 c=13.263 alpha=90.00 beta=90.00 gamma=90.00
Sites, in units of the cell vectors:
Tb: 0.044 0.250 0.150
Tb: 0.061 0.250 0.634
Tb: 0.202 0.250 0.857
Tb: 0.298 0.750 0.357
Tb: 0.439 0.750 0.134
Tb: 0.456 0.750 0.650
Tb: 0.544 0.250 0.350
Tb: 0.561 0.250 0.866
Tb: 0.702 0.250 0.643
Tb: 0.798 0.750 0.143
Tb: 0.939 0.750 0.366
Tb: 0.956 0.750 0.850
Se: 0.098 0.250 0.397
Se: 0.130 0.750 0.994
Se: 0.223 0.750 0.687
Se: 0.277 0.250 0.187
Se: 0.370 0.250 0.494
Se: 0.402 0.750 0.897
Se: 0.598 0.250 0.103
Se: 0.630 0.750 0.506
Se: 0.723 0.750 0.813
Se: 0.777 0.250 0.313
Se: 0.870 0.250 0.006
Se: 0.902 0.750 0.603
N: 0.035 0.250 0.797
N: 0.465 0.750 0.297
N: 0.535 0.250 0.703
N: 0.965 0.750 0.203

Summary:
total magnetization = 0.000 μB/cell
space group = Pnma (62)
ρ = 7.3 Mg/m³
ΔE_f (raw) = -12.9 eV per formula unit
crystal system = orthorhombic

---

(4)
Entry from the Alexandria database: an optimized crystal structure of TiV12Re6 (PBE-GGA).

Unit cell a=6.969 b=6.969 c=6.969 alpha=104.24 beta=104.24 gamma=104.24
Sites, in units of the cell vectors:
Ti: 0.000 0.000 0.000
V: 0.111 0.500 0.889
V: 0.111 0.889 0.500
V: 0.119 0.370 0.370
V: 0.370 0.119 0.370
V: 0.370 0.370 0.119
V: 0.500 0.111 0.889
V: 0.500 0.889 0.111
V: 0.630 0.630 0.881
V: 0.630 0.881 0.630
V: 0.881 0.630 0.630
V: 0.889 0.111 0.500
V: 0.889 0.500 0.111
Re: 0.298 0.298 0.701
Re: 0.298 0.701 0.298
Re: 0.299 0.702 0.702
Re: 0.701 0.298 0.298
Re: 0.702 0.299 0.702
Re: 0.702 0.702 0.299

Summary:
formation energy = 0.397 eV per atom
total magnetization = 0.000 μB/cell
space group = R-3m (166)
ρ = 9.8 Mg/m³
crystal system = trigonal